{
  "formula": "PdPtO2",
  "functional": "PBE",
  "state": "relaxed",
  "space_group": "Fm-3m (225)",
  "dos_ef_per_ev_atom": 1.67,
  "final_energy_ev_per_cell": -18.7,
  "formation_energy_uncorrected_ev_per_atom": 0.602,
  "cell": [[-2.5925, -0.9552, 2.9045], [-1.4611, 2.8575, 2.4018], [-3.8428, 1.1004, -0.3018]],
  "species": ["Pt", "O", "O", "Pd"],
  "frac_coords": [[0.5000, 0.5000, 0.5000], [0.2500, 0.2500, 0.2500], [0.7500, 0.7500, 0.7500], [0.0000, 0.0000, 0.0000]]
}